In3NiB: optimized geometry, GGA-PBE.

## Properties
The spin magnetization is 0.0 μB/f.u. The total energy is -16.49 eV/cell. The value obtained for the formation energy is 836.2 meV/atom. For the density of states at the Fermi level, the calculation gives 3.0 states/eV per cell. The value obtained for the polymorph energy (0 for the lowest one) is 27.1 meV per atom.

abc: 4.880 4.880 4.880
angles: 90.00 90.00 90.00
Fractional positions:
In: 0.000 0.000 0.500
In: 0.000 0.500 0.000
In: 0.500 0.000 0.000
Ni: 0.000 0.000 0.000
B: 0.500 0.500 0.500